(1)
Density functional theory data (PBE) for an optimized crystal structure of Ba2ZnPdBr.

a b c (Å): 6.160 6.160 4.881
angles (deg): 90.00 90.00 90.00
Fractional positions:
Zn  0.000  0.000  0.500
Br  0.500  0.500  0.500
Ba  0.000  0.500  0.000
Ba  0.500  0.000  0.000
Pd  0.000  0.000  0.000

formation energy from raw total energies: -0.78 eV per atom
total magnetic moment: 0.0000 μB per atom
mass density: 4720 kg/m³
D(E_F): 4.215 states/eV/cell
space-group type: No. 123

(2)
Density functional theory data (PBE) for an optimized crystal structure of BaPm2Br6.

a b c (Å): 6.959 9.923 9.923
angles (deg): 65.77 75.08 75.08
Fractional positions:
Ba  0.250  0.301  0.699
Ba  0.750  0.699  0.301
Pm  0.938  0.781  0.738
Pm  0.562  0.262  0.219
Pm  0.062  0.219  0.262
Pm  0.438  0.738  0.781
Br  0.313  0.668  0.551
Br  0.187  0.449  0.332
Br  0.687  0.332  0.449
Br  0.813  0.551  0.668
Br  0.813  0.958  0.421
Br  0.687  0.579  0.042
Br  0.187  0.042  0.579
Br  0.313  0.421  0.958
Br  0.072  0.811  0.987
Br  0.428  0.013  0.189
Br  0.928  0.189  0.013
Br  0.572  0.987  0.811

formation energy from raw total energies: -1.79 eV per atom
total magnetic moment: 0.0000 μB per atom
mass density: 5063 kg/m³
D(E_F): 2.520 states/eV/cell
space-group type: No. 15

(3)
Density functional theory data (PBE) for an optimized crystal structure of BaPm2Br8.

a b c (Å): 6.891 9.159 9.159
angles (deg): 45.70 71.59 71.59
Fractional positions:
Ba  0.000  0.000  0.000
Pm  0.817  0.725  0.725
Pm  0.183  0.275  0.275
Br  0.168  0.388  0.887
Br  0.832  0.113  0.612
Br  0.372  0.812  0.812
Br  0.628  0.188  0.188
Br  0.168  0.887  0.388
Br  0.832  0.612  0.113
Br  0.734  0.576  0.576
Br  0.266  0.424  0.424

formation energy from raw total energies: -1.90 eV per atom
total magnetic moment: 0.0000 μB per atom
mass density: 4557 kg/m³
D(E_F): 0.000 states/eV/cell
space-group type: No. 12

(4)
Density functional theory data (PBE) for an optimized crystal structure of Rb2BaPmBr8.

a b c (Å): 6.628 7.837 9.766
angles (deg): 90.05 89.99 96.12
Site moments in Bohr magnetons follow the coordinates.
Fractional positions:
Rb  0.500  0.501  0.759  0.00
Rb  0.500  0.499  0.241  0.00
Ba  0.000  0.000  0.500  0.00
Pm  0.000  0.000  0.000  -0.01
Br  0.070  0.764  0.221  0.02
Br  0.598  0.818  0.001  0.17
Br  0.931  0.236  0.222  0.02
Br  0.930  0.236  0.779  0.02
Br  0.402  0.182  0.999  0.17
Br  0.069  0.764  0.778  0.02
Br  0.546  0.793  0.500  0.19
Br  0.454  0.207  0.500  0.19

formation energy from raw total energies: -1.68 eV per atom
total magnetic moment: 0.0910 μB per atom
mass density: 3597 kg/m³
D(E_F): 5.672 states/eV/cell
space-group type: No. 2

(5)
Density functional theory data (PBE) for an optimized crystal structure of BaPmTlBr6.

a b c (Å): 8.040 8.040 13.771
angles (deg): 90.00 90.00 120.00
Fractional positions:
Ba  0.333  0.667  0.250
Ba  0.667  0.333  0.750
Pm  0.667  0.333  0.250
Pm  0.333  0.667  0.750
Tl  0.000  0.000  0.000
Tl  0.000  0.000  0.500
Br  0.657  0.624  0.130
Br  0.967  0.343  0.130
Br  0.343  0.967  0.630
Br  0.033  0.657  0.870
Br  0.376  0.343  0.370
Br  0.967  0.624  0.370
Br  0.624  0.967  0.870
Br  0.657  0.033  0.370
Br  0.033  0.376  0.630
Br  0.376  0.033  0.130
Br  0.624  0.657  0.630
Br  0.343  0.376  0.870

formation energy from raw total energies: -1.75 eV per atom
total magnetic moment: 0.0000 μB per atom
mass density: 4162 kg/m³
D(E_F): 0.000 states/eV/cell
space-group type: No. 163

(6)
Density functional theory data (PBE) for an optimized crystal structure of BaPrBr5.

a b c (Å): 5.940 7.419 10.861
angles (deg): 88.99 74.13 86.30
Fractional positions:
Ba  0.326  0.250  0.348
Ba  0.674  0.750  0.652
Pr  0.078  0.250  0.845
Pr  0.922  0.750  0.155
Br  0.211  0.399  0.070
Br  0.196  0.505  0.618
Br  0.372  0.750  0.257
Br  0.186  0.995  0.618
Br  0.281  0.899  0.930
Br  0.719  0.101  0.070
Br  0.814  0.005  0.382
Br  0.628  0.250  0.743
Br  0.804  0.495  0.382
Br  0.789  0.601  0.930

formation energy from raw total energies: -2.00 eV per atom
total magnetic moment: 0.0000 μB per atom
mass density: 4899 kg/m³
D(E_F): 0.000 states/eV/cell
space-group type: No. 15

no.,DFT total energy (eV/atom)
1,-3.175
2,-4.174
3,-4.150
4,-3.512
5,-3.874
6,-4.155